Be2AlP | PBE | relaxed

Energy above the most stable polymorph in this dataset (eV per atom): 0.025
Energy relative to the elements (eV/atom): 0.172
DOS at the Fermi energy (states/eV/f.u.): 0.8
Theoretical density (Mg/m³): 2.33

Cell lengths 3.4642, 3.5071, 4.4595 Å; angles 89.96, 90.00, 90.00 degrees
Atoms (fractional coordinates):
Al1 0.5000 0.7500 0.7500
P1 0.5000 0.2500 0.2500
Be1 0.0000 0.2502 0.5196
Be2 0.0000 0.2498 0.9804


Al3SnS6 | PBE | relaxed

ΔE_f (raw) (meV/atom): -642
DOS at the Fermi energy (states/eV/f.u.): 1.3
Theoretical density (Mg/m³): 3.23

Cell lengths 7.3914, 7.3914, 7.3914 Å; angles 91.86, 91.86, 91.86 degrees
Atoms (fractional coordinates):
S1 0.9052 0.6589 0.1128
S2 0.3411 0.8872 0.0948
S3 0.1723 0.5292 0.3884
S4 0.1128 0.9052 0.6589
S5 0.6589 0.1128 0.9052
S6 0.6116 0.8277 0.4708
S7 0.8872 0.0948 0.3411
S8 0.0948 0.3411 0.8872
S9 0.8277 0.4708 0.6116
S10 0.5292 0.3884 0.1723
S11 0.3884 0.1723 0.5292
S12 0.4708 0.6116 0.8277
Sn1 0.5000 0.5000 0.5000
Sn2 0.0000 0.0000 0.0000
Al1 0.2483 0.5593 0.0779
Al2 0.9221 0.7517 0.4407
Al3 0.5593 0.0779 0.2483
Al4 0.7517 0.4407 0.9221
Al5 0.4407 0.9221 0.7517
Al6 0.0779 0.2483 0.5593